(1)
Li2Ce2Ge3, relaxed, DFT PBEsol; energy relative to the elements = -0.62 eV/atom; space-group type = Cmcm, No. 63; spin magnetization = 0.18 μB per atom; Fermi-level density of states = 21.22 states/eV/cell
1.0
2.1943 -9.1891 0.0000
2.1943 9.1891 0.0000
0.0000 0.0000 6.7637
Li Ce Ge
4 4 6
direct
0.1908 0.8092 0.5623 Li
0.1908 0.8092 0.9377 Li
0.8092 0.1908 0.0623 Li
0.8092 0.1908 0.4377 Li
0.3435 0.6565 0.7500 Ce
0.4501 0.5499 0.2500 Ce
0.5499 0.4501 0.7500 Ce
0.6565 0.3435 0.2500 Ce
0.0631 0.9369 0.0644 Ge
0.0631 0.9369 0.4356 Ge
0.2798 0.7202 0.2500 Ge
0.7202 0.2798 0.7500 Ge
0.9369 0.0631 0.5644 Ge
0.9369 0.0631 0.9356 Ge

---

(2)
Ce6Mg23Ge, relaxed, DFT PBEsol; energy relative to the elements = -0.03 eV/atom; space-group type = Fm-3m, No. 225; spin magnetization = 0.20 μB per atom; Fermi-level density of states = 55.46 states/eV/cell
1.0
0.0000 7.1641 7.1641
7.1641 0.0000 7.1641
7.1641 7.1641 0.0000
Ce Mg Ge
6 23 1
direct
0.2045 0.2045 0.7955 Ce
0.2045 0.7955 0.2045 Ce
0.2045 0.7955 0.7955 Ce
0.7955 0.2045 0.2045 Ce
0.7955 0.2045 0.7955 Ce
0.7955 0.7955 0.2045 Ce
0.0000 0.0000 0.5000 Mg
0.0000 0.5000 0.0000 Mg
0.0000 0.5000 0.5000 Mg
0.1363 0.6212 0.6212 Mg
0.1685 0.1685 0.1685 Mg
0.1685 0.1685 0.4946 Mg
0.1685 0.4946 0.1685 Mg
0.3788 0.3788 0.3788 Mg
0.3788 0.3788 0.8637 Mg
0.3788 0.8637 0.3788 Mg
0.4946 0.1685 0.1685 Mg
0.5000 0.0000 0.0000 Mg
0.5000 0.0000 0.5000 Mg
0.5000 0.5000 0.0000 Mg
0.5000 0.5000 0.5000 Mg
0.5054 0.8315 0.8315 Mg
0.6212 0.1363 0.6212 Mg
0.6212 0.6212 0.1363 Mg
0.6212 0.6212 0.6212 Mg
0.8315 0.5054 0.8315 Mg
0.8315 0.8315 0.5054 Mg
0.8315 0.8315 0.8315 Mg
0.8637 0.3788 0.3788 Mg
0.0000 0.0000 0.0000 Ge

---

(3)
Ce2MgGe2, relaxed, DFT PBEsol; energy relative to the elements = -0.63 eV/atom; space-group type = P4/mbm, No. 127; spin magnetization = 0.27 μB per atom; Fermi-level density of states = 20.77 states/eV/cell
1.0
7.3021 0.0000 0.0000
0.0000 7.3021 0.0000
0.0000 0.0000 4.3060
Ce Mg Ge
4 2 4
direct
0.1769 0.3231 0.0000 Ce
0.3231 0.8231 0.0000 Ce
0.6769 0.1769 0.0000 Ce
0.8231 0.6769 0.0000 Ce
0.0000 0.0000 0.5000 Mg
0.5000 0.5000 0.5000 Mg
0.1230 0.6230 0.5000 Ge
0.3770 0.1230 0.5000 Ge
0.6230 0.8770 0.5000 Ge
0.8770 0.3770 0.5000 Ge

---

(4)
CeMn2Ge2, relaxed, DFT PBEsol; energy relative to the elements = -0.42 eV/atom; space-group type = I4/mmm, No. 139; spin magnetization = 0.78 μB per atom; Fermi-level density of states = 3.52 states/eV/cell
1.0
-1.9642 1.9642 5.3177
1.9642 -1.9642 5.3177
1.9642 1.9642 -5.3177
Ce Mn Ge
1 2 2
direct
0.0000 0.0000 0.0000 Ce
0.2500 0.7500 0.5000 Mn
0.7500 0.2500 0.5000 Mn
0.3788 0.3788 0.0000 Ge
0.6212 0.6212 0.0000 Ge

---

(5)
Ce2NiGe3, relaxed, DFT PBEsol; energy relative to the elements = -0.68 eV/atom; space-group type = P-6m2, No. 187; distance to the lowest polymorph of the same formula = 39.2 meV/atom; spin magnetization = 0.00 μB per atom; Fermi-level density of states = 4.19 states/eV/cell
1.0
4.1795 0.0000 0.0000
-2.0898 3.6196 0.0000
0.0000 0.0000 7.7769
Ce Ni Ge
2 1 3
direct
0.0000 0.0000 0.2363 Ce
0.0000 0.0000 0.7637 Ce
0.6667 0.3333 0.0000 Ni
0.3333 0.6667 0.0000 Ge
0.3333 0.6667 0.5000 Ge
0.6667 0.3333 0.5000 Ge

---

(6)
CeNi9Ge4, relaxed, DFT PBEsol; energy relative to the elements = -0.44 eV/atom; space-group type = I4/mcm, No. 140; spin magnetization = 0.02 μB per atom; Fermi-level density of states = 29.57 states/eV/cell
1.0
-3.9216 3.9216 5.7875
3.9216 -3.9216 5.7875
3.9216 3.9216 -5.7875
Ce Ni Ge
2 18 8
direct
0.2500 0.2500 0.0000 Ce
0.7500 0.7500 0.0000 Ce
0.0000 0.5000 0.5000 Ni
0.0571 0.5571 0.2503 Ni
0.0673 0.7961 0.8634 Ni
0.1933 0.9429 0.5000 Ni
0.2039 0.0673 0.2711 Ni
0.2961 0.5673 0.8634 Ni
0.3067 0.8067 0.7497 Ni
0.4327 0.2961 0.7289 Ni
0.4429 0.6933 0.5000 Ni
0.5000 0.0000 0.5000 Ni
0.5571 0.3067 0.5000 Ni
0.5673 0.7039 0.2711 Ni
0.6933 0.1933 0.2503 Ni
0.7039 0.4327 0.1366 Ni
0.7961 0.9327 0.7289 Ni
0.8067 0.0571 0.5000 Ni
0.9327 0.2039 0.1366 Ni
0.9429 0.4429 0.7497 Ni
0.0521 0.2042 0.5000 Ge
0.2042 0.7042 0.1521 Ge
0.2958 0.4479 0.5000 Ge
0.4479 0.9479 0.1521 Ge
0.5521 0.0521 0.8479 Ge
0.7042 0.5521 0.5000 Ge
0.7958 0.2958 0.8479 Ge
0.9479 0.7958 0.5000 Ge

---

(7)
Ce3NiGe2, relaxed, DFT PBEsol; energy relative to the elements = -0.66 eV/atom; space-group type = Pnma, No. 62; spin magnetization = 0.06 μB per atom; Fermi-level density of states = 37.71 states/eV/cell
1.0
11.9982 0.0000 0.0000
0.0000 4.0516 0.0000
0.0000 0.0000 10.1436
Ce Ni Ge
12 4 8
direct
0.0416 0.2500 0.0887 Ce
0.1300 0.7500 0.5750 Ce
0.2176 0.2500 0.7546 Ce
0.2824 0.7500 0.2546 Ce
0.3700 0.2500 0.0750 Ce
0.4584 0.7500 0.5887 Ce
0.5416 0.2500 0.4113 Ce
0.6300 0.7500 0.9250 Ce
0.7176 0.2500 0.7454 Ce
0.7824 0.7500 0.2454 Ce
0.8700 0.2500 0.4250 Ce
0.9584 0.7500 0.9113 Ce
0.1286 0.2500 0.3482 Ni
0.3714 0.7500 0.8482 Ni
0.6286 0.2500 0.1518 Ni
0.8714 0.7500 0.6518 Ni
0.0287 0.7500 0.3041 Ge
0.2018 0.7500 0.9728 Ge
0.2982 0.2500 0.4728 Ge
0.4713 0.2500 0.8041 Ge
0.5287 0.7500 0.1959 Ge
0.7018 0.7500 0.5272 Ge
0.7982 0.2500 0.0272 Ge
0.9713 0.2500 0.6959 Ge

---

(8)
Ce2NiGe3, relaxed, DFT PBEsol; energy relative to the elements = -0.72 eV/atom; space-group type = P6/mmm, No. 191; distance to the lowest polymorph of the same formula = 0.0 meV/atom; spin magnetization = 0.19 μB per atom; Fermi-level density of states = 19.66 states/eV/cell
1.0
8.2023 0.0000 0.0000
-4.1011 7.1034 0.0000
0.0000 0.0000 4.0822
Ce Ni Ge
4 2 6
direct
0.0000 0.0000 0.0000 Ce
0.0000 0.5000 0.0000 Ce
0.5000 0.0000 0.0000 Ce
0.5000 0.5000 0.0000 Ce
0.3333 0.6667 0.5000 Ni
0.6667 0.3333 0.5000 Ni
0.1723 0.3446 0.5000 Ge
0.1723 0.8277 0.5000 Ge
0.3446 0.1723 0.5000 Ge
0.6554 0.8277 0.5000 Ge
0.8277 0.1723 0.5000 Ge
0.8277 0.6554 0.5000 Ge

---

(9)
CeNiGe2, relaxed, DFT PBEsol; energy relative to the elements = -0.75 eV/atom; space-group type = Cmcm, No. 63; spin magnetization = 0.07 μB per atom; Fermi-level density of states = 8.11 states/eV/cell
1.0
2.0772 -8.1797 0.0000
2.0772 8.1797 0.0000
0.0000 0.0000 4.1623
Ce Ni Ge
2 2 4
direct
0.1082 0.8918 0.7500 Ce
0.8918 0.1082 0.2500 Ce
0.3186 0.6814 0.7500 Ni
0.6814 0.3186 0.2500 Ni
0.2498 0.7502 0.2500 Ge
0.4582 0.5418 0.7500 Ge
0.5418 0.4582 0.2500 Ge
0.7502 0.2498 0.7500 Ge

---

(10)
CeGePd, relaxed, DFT PBEsol; energy relative to the elements = -0.89 eV/atom; space-group type = Pnma, No. 62; spin magnetization = 0.06 μB per atom; Fermi-level density of states = 9.32 states/eV/cell
1.0
7.1240 0.0000 0.0000
0.0000 4.4008 0.0000
0.0000 0.0000 7.5049
Ce Ge Pd
4 4 4
direct
0.0052 0.2500 0.2080 Ce
0.4948 0.7500 0.7080 Ce
0.5052 0.2500 0.2920 Ce
0.9948 0.7500 0.7920 Ce
0.1988 0.2500 0.5897 Ge
0.3012 0.7500 0.0897 Ge
0.6988 0.2500 0.9103 Ge
0.8012 0.7500 0.4103 Ge
0.2027 0.7500 0.4184 Pd
0.2973 0.2500 0.9184 Pd
0.7027 0.7500 0.0816 Pd
0.7973 0.2500 0.5816 Pd

---

(11)
CeGe2Pd2, relaxed, DFT PBEsol; energy relative to the elements = -0.80 eV/atom; space-group type = I4/mmm, No. 139; spin magnetization = 0.10 μB per atom; Fermi-level density of states = 6.16 states/eV/cell
1.0
-2.1125 2.1125 5.0796
2.1125 -2.1125 5.0796
2.1125 2.1125 -5.0796
Ce Ge Pd
1 2 2
direct
0.0000 0.0000 0.0000 Ce
0.3807 0.3807 0.0000 Ge
0.6193 0.6193 0.0000 Ge
0.2500 0.7500 0.5000 Pd
0.7500 0.2500 0.5000 Pd

---

(12)
CeGePd, relaxed, DFT PBEsol; energy relative to the elements = -0.81 eV/atom; space-group type = C2/m, No. 12; spin magnetization = 0.06 μB per atom; Fermi-level density of states = 5.90 states/eV/cell
1.0
5.0678 -2.2071 0.0000
5.0678 2.2071 0.0000
-4.6694 0.0000 5.2659
Ce Ge Pd
2 2 2
direct
0.0402 0.0402 0.3072 Ce
0.9598 0.9598 0.6928 Ce
0.3422 0.3422 0.9039 Ge
0.6578 0.6578 0.0961 Ge
0.3213 0.3213 0.2842 Pd
0.6787 0.6787 0.7158 Pd

---

(13)
CeSiGePd2, relaxed, DFT PBEsol; space-group type = I4mm, No. 107; spin magnetization = 0.06 μB per atom; raw formation energy = -4.36 eV/f.u.; Fermi-level density of states = 5.29 states/eV/cell
1.0
-2.0842 2.0842 5.0456
2.0842 -2.0842 5.0456
2.0842 2.0842 -5.0456
Ce Si Ge Pd
1 1 1 2
direct
0.0000 0.0000 0.0000 Ce
0.6217 0.6217 0.0000 Si
0.3863 0.3863 0.0000 Ge
0.2446 0.7446 0.5000 Pd
0.7446 0.2446 0.5000 Pd

---

(14)
CeGe12Pt4, relaxed, DFT PBEsol; energy relative to the elements = -0.43 eV/atom; space-group type = Im-3, No. 204; spin magnetization = 0.00 μB per atom; Fermi-level density of states = 10.45 states/eV/cell
1.0
-4.2905 4.2905 4.2905
4.2905 -4.2905 4.2905
4.2905 4.2905 -4.2905
Ce Ge Pt
1 12 4
direct
0.0000 0.0000 0.0000 Ce
0.1501 0.3533 0.5034 Ge
0.1501 0.6467 0.7967 Ge
0.2033 0.8499 0.3533 Ge
0.3533 0.2033 0.8499 Ge
0.3533 0.5034 0.1501 Ge
0.4966 0.8499 0.6467 Ge
0.5034 0.1501 0.3533 Ge
0.6467 0.4966 0.8499 Ge
0.6467 0.7967 0.1501 Ge
0.7967 0.1501 0.6467 Ge
0.8499 0.3533 0.2033 Ge
0.8499 0.6467 0.4966 Ge
0.0000 0.0000 0.5000 Pt
0.0000 0.5000 0.0000 Pt
0.5000 0.0000 0.0000 Pt
0.5000 0.5000 0.5000 Pt

---

(15)
CeYGe4Pt4, relaxed, DFT PBEsol; energy relative to the elements = -0.90 eV/atom; space-group type = P4mm, No. 99; spin magnetization = 0.05 μB per atom; Fermi-level density of states = 9.13 states/eV/cell
1.0
4.2689 0.0000 0.0000
0.0000 4.2689 0.0000
0.0000 0.0000 10.0254
Ce Y Ge Pt
1 1 4 4
direct
0.0000 0.0000 0.0000 Ce
0.5000 0.5000 0.5012 Y
0.0000 0.0000 0.6126 Ge
0.0000 0.5000 0.2479 Ge
0.5000 0.0000 0.2479 Ge
0.5000 0.5000 0.8788 Ge
0.0000 0.0000 0.3731 Pt
0.0000 0.5000 0.7466 Pt
0.5000 0.0000 0.7466 Pt
0.5000 0.5000 0.1202 Pt

---

(16)
Ce2Ge5Rh3, relaxed, DFT PBEsol; energy relative to the elements = -0.83 eV/atom; space-group type = Ibam, No. 72; spin magnetization = 0.04 μB per atom; Fermi-level density of states = 15.90 states/eV/cell
1.0
-5.0090 5.9130 2.9772
5.0090 -5.9130 2.9772
5.0090 5.9130 -2.9772
Ce Ge Rh
4 10 6
direct
0.1346 0.2299 0.3646 Ce
0.3654 0.7299 0.0953 Ce
0.6346 0.2701 0.9047 Ce
0.8654 0.7701 0.6354 Ce
0.0280 0.7500 0.2780 Ge
0.0993 0.6603 0.7596 Ge
0.2500 0.2500 0.0000 Ge
0.4007 0.1603 0.5611 Ge
0.4720 0.7500 0.7220 Ge
0.5280 0.2500 0.2780 Ge
0.5993 0.8397 0.4389 Ge
0.7500 0.7500 0.0000 Ge
0.9007 0.3397 0.2404 Ge
0.9720 0.2500 0.7220 Ge
0.1410 0.8920 0.0330 Rh
0.2500 0.7500 0.5000 Rh
0.3590 0.3920 0.7510 Rh
0.6410 0.6080 0.2490 Rh
0.7500 0.2500 0.5000 Rh
0.8590 0.1080 0.9670 Rh

---

(17)
CeGe3Rh, relaxed, DFT PBEsol; energy relative to the elements = -0.71 eV/atom; space-group type = I4mm, No. 107; spin magnetization = 0.09 μB per atom; Fermi-level density of states = 5.56 states/eV/cell
1.0
-2.1731 2.1731 4.9538
2.1731 -2.1731 4.9538
2.1731 2.1731 -4.9538
Ce Ge Rh
1 3 1
direct
0.0000 0.0000 0.0000 Ce
0.2667 0.7667 0.5000 Ge
0.4248 0.4248 0.0000 Ge
0.7667 0.2667 0.5000 Ge
0.6631 0.6631 0.0000 Rh

---

(18)
Ce2Ge3Rh, relaxed, DFT PBEsol; energy relative to the elements = -0.76 eV/atom; space-group type = Imm2, No. 44; spin magnetization = 0.11 μB per atom; Fermi-level density of states = 7.94 states/eV/cell
1.0
-1.9835 2.1193 7.3360
1.9835 -2.1193 7.3360
1.9835 2.1193 -7.3360
Ce Ge Rh
2 3 1
direct
0.0000 0.0000 0.0000 Ce
0.7455 0.2455 0.5000 Ce
0.3245 0.8245 0.5000 Ge
0.4188 0.4188 0.0000 Ge
0.5844 0.5844 0.0000 Ge
0.1616 0.6616 0.5000 Rh

---

(19)
CeGe2Rh2, relaxed, DFT PBEsol; energy relative to the elements = -0.86 eV/atom; space-group type = I4/mmm, No. 139; spin magnetization = 0.11 μB per atom; Fermi-level density of states = 5.71 states/eV/cell
1.0
-2.0489 2.0489 5.1683
2.0489 -2.0489 5.1683
2.0489 2.0489 -5.1683
Ce Ge Rh
1 2 2
direct
0.0000 0.0000 0.0000 Ce
0.3786 0.3786 0.0000 Ge
0.6214 0.6214 0.0000 Ge
0.2500 0.7500 0.5000 Rh
0.7500 0.2500 0.5000 Rh

---

(20)
CeSiGeRh2, relaxed, DFT PBEsol; space-group type = I4mm, No. 107; spin magnetization = 0.08 μB per atom; raw formation energy = -4.88 eV/f.u.; Fermi-level density of states = 5.09 states/eV/cell
1.0
-2.0315 2.0315 5.0858
2.0315 -2.0315 5.0858
2.0315 2.0315 -5.0858
Ce Si Ge Rh
1 1 1 2
direct
0.0000 0.0000 0.0000 Ce
0.6241 0.6241 0.0000 Si
0.3815 0.3815 0.0000 Ge
0.2431 0.7431 0.5000 Rh
0.7431 0.2431 0.5000 Rh